(1)
Material: NpGeHO6
Method: DFT, GGA-PBE
State: optimized geometry

Unit cell a=5.1624 b=5.1624 c=8.8393 alpha=90.00 beta=90.00 gamma=120.00
Fractional positions:
Np 0.3333 0.6667 0.2500
Np 0.6667 0.3333 0.7500
Ge 0.6667 0.3333 0.2500
Ge 0.3333 0.6667 0.7500
H 0.0000 0.0000 0.0000
H 0.0000 0.0000 0.5000
O 0.6608 0.6447 0.1319
O 0.9839 0.3392 0.1319
O 0.3392 0.9839 0.6319
O 0.0161 0.6608 0.8681
O 0.3553 0.3392 0.3681
O 0.9839 0.6447 0.3681
O 0.6447 0.9839 0.8681
O 0.6608 0.0161 0.3681
O 0.0161 0.3553 0.6319
O 0.3553 0.0161 0.1319
O 0.6447 0.6608 0.6319
O 0.3392 0.3553 0.8681

space group	P-31c (163)
total DFT energy (no corrections)	-124.95	eV per cell



(2)
Material: KAlS2
Method: DFT, GGA-PBE
State: optimized geometry

Unit cell a=6.4912 b=9.9739 c=6.4582 alpha=90.00 beta=90.00 gamma=90.00
Fractional positions:
K 0.9970 0.3765 0.0378
K 0.0030 0.6235 0.5378
K 0.5030 0.8765 0.5378
K 0.4970 0.1235 0.0378
S 0.3792 0.8201 0.0665
S 0.6208 0.1799 0.5665
S 0.1208 0.3201 0.5665
S 0.8792 0.6799 0.0665
S 0.0178 0.9252 0.6508
S 0.9822 0.0748 0.1508
S 0.4822 0.4252 0.1508
S 0.5178 0.5748 0.6508
Al 0.0450 0.8747 0.9947
Al 0.9550 0.1253 0.4947
Al 0.4550 0.3747 0.4947
Al 0.5450 0.6253 0.9947

space group	Pna2_1 (33)
uncorrected formation energy	-1256	meV/atom
total DFT energy (no corrections)	-72.48	eV per cell



(3)
Material: La8Ru
Method: DFT, GGA-PBE
State: optimized geometry

Unit cell a=8.1480 b=8.1480 c=8.1480 alpha=94.87 beta=94.87 gamma=146.14
Fractional positions:
La 0.3312 0.0000 0.3312
La 0.6688 0.0000 0.6688
La 0.0000 0.6688 0.6688
La 0.3529 0.6471 0.0000
La 0.6471 0.6471 0.2943
La 0.0000 0.3312 0.3312
La 0.3529 0.3529 0.7057
La 0.6471 0.3529 0.0000
Ru 0.0000 0.0000 0.0000

formation enthalpy at 0 K	0.103	eV per atom
space group	I4/mmm (139)
total DFT energy (no corrections)	-47.77	eV per cell